# Tb3Pm3ErTe8

A geometry-optimized Tb3Pm3ErTe8 structure (PBE, Alexandria via LeMat-Bulk). Values from VASP.

Output
DFT total energy in eV per atom: -5.262
ΔE_f (raw) in kJ per mole of atoms: -135.65
Total moment in μB/cell: 0.000
Space group: No. 166

Cell and atoms, written as Quantum ESPRESSO input:
```
&SYSTEM
  ibrav = 0, nat = 15, ntyp = 4
/
ATOMIC_SPECIES
Tb 158.93 Tb.upf
Te 127.60 Te.upf
Er 167.26 Er.upf
Pm 145.00 Pm.upf
CELL_PARAMETERS angstrom
8.785 0.000 0.000
-4.393 7.608 -0.026
0.000 -5.047 7.226
ATOMIC_POSITIONS crystal
Tb 0.500 0.000 0.500
Tb 0.500 0.500 0.500
Tb 0.000 0.500 0.500
Te 0.748 0.495 0.743
Te 0.744 0.995 0.746
Te 0.251 0.502 0.746
Te 0.749 0.498 0.254
Te 0.252 0.505 0.257
Te 0.256 0.005 0.254
Te 0.251 0.995 0.746
Te 0.749 0.005 0.254
Er 0.000 0.000 0.500
Pm 0.000 0.000 0.000
Pm 0.500 0.500 0.000
Pm 0.000 0.500 0.000
```


# Tb2PmErTe5

A geometry-optimized Tb2PmErTe5 structure (PBE, Alexandria via LeMat-Bulk). Values from VASP.

Output
DFT total energy in eV per atom: -4.521
ΔE_f (raw) in kJ per mole of atoms: -68.72
Total moment in μB/cell: 0.587
Space group: No. 123

Cell and atoms, written as Quantum ESPRESSO input:
```
&SYSTEM
  ibrav = 0, nat = 9, ntyp = 4
/
ATOMIC_SPECIES
Te 127.60 Te.upf
Tb 158.93 Tb.upf
Pm 145.00 Pm.upf
Er 167.26 Er.upf
CELL_PARAMETERS angstrom
5.501 0.000 0.000
0.000 5.501 0.000
0.000 0.000 11.717
ATOMIC_POSITIONS crystal
Te 0.500 0.500 0.000
Te 0.000 0.000 0.750
Te 0.000 0.000 0.250
Te 0.500 0.000 0.500
Te 0.000 0.500 0.500
Tb 0.500 0.500 0.351
Tb 0.500 0.500 0.649
Pm 0.000 0.000 0.000
Er 0.000 0.000 0.500
```


# Tb3PmEr2Te6

A geometry-optimized Tb3PmEr2Te6 structure (PBE, Alexandria via LeMat-Bulk). Values from VASP.

Output
DFT total energy in eV per atom: -5.179
ΔE_f (raw) in kJ per mole of atoms: -124.87
Total moment in μB/cell: 0.000
Space group: No. 12

Cell and atoms, written as Quantum ESPRESSO input:
```
&SYSTEM
  ibrav = 0, nat = 12, ntyp = 4
/
ATOMIC_SPECIES
Te 127.60 Te.upf
Er 167.26 Er.upf
Pm 145.00 Pm.upf
Tb 158.93 Tb.upf
CELL_PARAMETERS angstrom
-1.077 0.312 4.196
6.409 -5.655 2.065
4.937 8.262 -1.595
ATOMIC_POSITIONS crystal
Te 0.331 0.417 0.662
Te 0.997 0.743 0.995
Te 0.329 0.910 0.657
Te 0.669 0.583 0.338
Te 0.003 0.257 0.005
Te 0.671 0.090 0.343
Er 0.164 0.331 0.328
Er 0.836 0.669 0.672
Pm 0.500 0.000 0.000
Tb 0.839 0.165 0.678
Tb 0.161 0.835 0.322
Tb 0.500 0.500 0.000
```


# TbPm2ErTe6

A geometry-optimized TbPm2ErTe6 structure (PBE, Alexandria via LeMat-Bulk). Values from VASP.

Output
DFT total energy in eV per atom: -5.123
ΔE_f (raw) in kJ per mole of atoms: -132.02
Total moment in μB/cell: 0.000
Space group: No. 146

Cell and atoms, written as Quantum ESPRESSO input:
```
&SYSTEM
  ibrav = 0, nat = 10, ntyp = 4
/
ATOMIC_SPECIES
Te 127.60 Te.upf
Er 167.26 Er.upf
Tb 158.93 Tb.upf
Pm 145.00 Pm.upf
CELL_PARAMETERS angstrom
-3.643 4.861 -4.889
-6.246 -2.433 -3.982
-7.491 2.961 2.311
ATOMIC_POSITIONS crystal
Te 0.220 0.931 0.254
Te 0.931 0.595 0.254
Te 0.428 0.717 0.757
Te 0.717 0.099 0.757
Te 0.099 0.428 0.757
Te 0.595 0.220 0.254
Er 0.324 0.324 0.028
Tb 0.824 0.824 0.529
Pm 0.513 0.513 0.462
Pm 0.012 0.012 0.963
```


# Tb3Pm2ErTe6

A geometry-optimized Tb3Pm2ErTe6 structure (PBE, Alexandria via LeMat-Bulk). Values from VASP.

Output
DFT total energy in eV per atom: -5.228
ΔE_f (raw) in kJ per mole of atoms: -128.10
Total moment in μB/cell: 0.002
Space group: No. 12

Cell and atoms, written as Quantum ESPRESSO input:
```
&SYSTEM
  ibrav = 0, nat = 12, ntyp = 4
/
ATOMIC_SPECIES
Er 167.26 Er.upf
Tb 158.93 Tb.upf
Te 127.60 Te.upf
Pm 145.00 Pm.upf
CELL_PARAMETERS angstrom
-1.418 -1.094 -3.983
8.312 -1.666 -2.501
-2.228 -7.923 5.363
ATOMIC_POSITIONS crystal
Er 0.500 0.000 0.000
Tb 0.500 0.500 0.000
Tb 0.173 0.834 0.346
Tb 0.827 0.166 0.654
Te 0.337 0.414 0.674
Te 0.338 0.925 0.675
Te 0.997 0.245 0.995
Te 0.662 0.075 0.325
Te 0.003 0.755 0.005
Te 0.663 0.586 0.326
Pm 0.171 0.336 0.341
Pm 0.829 0.664 0.659
```


# Tb2PmErTe6

A geometry-optimized Tb2PmErTe6 structure (PBE, Alexandria via LeMat-Bulk). Values from VASP.

Output
DFT total energy in eV per atom: -5.107
ΔE_f (raw) in kJ per mole of atoms: -131.67
Total moment in μB/cell: 0.000
Space group: No. 146

Cell and atoms, written as Quantum ESPRESSO input:
```
&SYSTEM
  ibrav = 0, nat = 10, ntyp = 4
/
ATOMIC_SPECIES
Tb 158.93 Tb.upf
Te 127.60 Te.upf
Pm 145.00 Pm.upf
Er 167.26 Er.upf
CELL_PARAMETERS angstrom
7.746 0.000 0.000
3.873 6.709 0.000
3.873 2.236 7.060
ATOMIC_POSITIONS crystal
Tb 0.510 0.510 0.470
Tb 0.009 0.008 0.975
Te 0.111 0.408 0.753
Te 0.600 0.233 0.248
Te 0.408 0.728 0.753
Te 0.919 0.599 0.248
Te 0.728 0.111 0.753
Te 0.233 0.919 0.248
Pm 0.821 0.821 0.536
Er 0.323 0.323 0.030
```


# TbPmErTh2

A geometry-optimized TbPmErTh2 structure (PBE, Alexandria via LeMat-Bulk). Values from VASP.

Output
Formation energy from the elements in meV per atom: 410
DFT total energy in eV per atom: -5.347
Total moment in μB/cell: 0.000
Space group: No. 63

Cell and atoms, written as Quantum ESPRESSO input:
```
&SYSTEM
  ibrav = 0, nat = 10, ntyp = 4
/
ATOMIC_SPECIES
Pm 145.00 Pm.upf
Th 232.04 Th.upf
Er 167.26 Er.upf
Tb 158.93 Tb.upf
CELL_PARAMETERS angstrom
-4.229 -1.185 5.026
5.089 0.125 4.310
-3.552 7.634 -1.189
ATOMIC_POSITIONS crystal
Pm 0.750 0.152 0.304
Pm 0.250 0.848 0.696
Th 0.500 0.747 0.000
Th 0.500 0.253 0.000
Th 0.000 0.747 0.000
Th 0.000 0.253 0.000
Er 0.250 0.652 0.303
Er 0.750 0.348 0.697
Tb 0.250 0.258 0.517
Tb 0.750 0.742 0.483
```


# Tb2Pm5ErTh

A geometry-optimized Tb2Pm5ErTh structure (PBE, Alexandria via LeMat-Bulk). Values from VASP.

Output
Formation energy from the elements in meV per atom: 153
DFT total energy in eV per atom: -4.847
Total moment in μB/cell: 0.000
Space group: No. 36

Cell and atoms, written as Quantum ESPRESSO input:
```
&SYSTEM
  ibrav = 0, nat = 18, ntyp = 4
/
ATOMIC_SPECIES
Pm 145.00 Pm.upf
Th 232.04 Th.upf
Tb 158.93 Tb.upf
Er 167.26 Er.upf
CELL_PARAMETERS angstrom
5.640 0.000 0.000
-2.820 10.252 0.000
0.000 0.000 10.589
ATOMIC_POSITIONS crystal
Pm 0.986 0.972 0.518
Pm 0.482 0.965 0.745
Pm 0.385 0.771 0.025
Pm 0.276 0.552 0.312
Pm 0.724 0.448 0.812
Pm 0.293 0.587 0.704
Pm 0.014 0.028 0.018
Pm 0.707 0.413 0.204
Pm 0.615 0.229 0.525
Pm 0.518 0.035 0.245
Th 0.199 0.398 0.011
Th 0.801 0.602 0.511
Tb 0.887 0.775 0.237
Tb 0.885 0.770 0.810
Tb 0.113 0.225 0.737
Tb 0.115 0.230 0.310
Er 0.595 0.190 0.960
Er 0.405 0.810 0.460
```


# Tb6Pm3Er2Th

A geometry-optimized Tb6Pm3Er2Th structure (PBE, Alexandria via LeMat-Bulk). Values from VASP.

Output
Formation energy from the elements in meV per atom: 21
DFT total energy in eV per atom: -4.861
Total moment in μB/cell: 0.000
Space group: No. 12

Cell and atoms, written as Quantum ESPRESSO input:
```
&SYSTEM
  ibrav = 0, nat = 12, ntyp = 4
/
ATOMIC_SPECIES
Pm 145.00 Pm.upf
Tb 158.93 Tb.upf
Er 167.26 Er.upf
Th 232.04 Th.upf
CELL_PARAMETERS angstrom
6.192 0.001 0.015
-3.093 5.364 0.015
-1.063 -1.840 11.674
ATOMIC_POSITIONS crystal
Pm 0.833 0.167 0.500
Pm 0.167 0.833 0.500
Pm 0.500 0.500 0.500
Tb 0.083 0.413 0.246
Tb 0.413 0.083 0.246
Tb 0.248 0.248 0.754
Tb 0.917 0.587 0.754
Tb 0.587 0.917 0.754
Tb 0.752 0.752 0.246
Er 0.667 0.333 0.000
Er 0.333 0.667 0.000
Th 0.000 0.000 0.000
```


# Tb2PmErTh

A geometry-optimized Tb2PmErTh structure (PBE, Alexandria via LeMat-Bulk). Values from VASP.

Output
Formation energy from the elements in meV per atom: 442
DFT total energy in eV per atom: -4.757
Total moment in μB/cell: 0.000
Space group: No. 63

Cell and atoms, written as Quantum ESPRESSO input:
```
&SYSTEM
  ibrav = 0, nat = 10, ntyp = 4
/
ATOMIC_SPECIES
Pm 145.00 Pm.upf
Th 232.04 Th.upf
Tb 158.93 Tb.upf
Er 167.26 Er.upf
CELL_PARAMETERS angstrom
6.929 0.000 0.000
0.000 8.576 0.000
0.000 -4.288 5.937
ATOMIC_POSITIONS crystal
Pm 0.750 0.268 0.535
Pm 0.250 0.732 0.465
Th 0.250 0.001 0.003
Th 0.750 0.999 0.997
Tb 0.500 0.317 0.000
Tb 0.000 0.683 0.000
Tb 0.000 0.317 0.000
Tb 0.500 0.683 0.000
Er 0.750 0.724 0.448
Er 0.250 0.276 0.552
```


no.,calculated volume (Å³/f.u.)
1,481.77
2,354.51
3,354.34
4,372.20
5,360.46
6,366.86
7,174.13
8,306.15
9,388.17
10,176.39